# 1
Compound: TaTe2Pt
Source: the Alexandria database
Functional: GGA-PBE
Structure: optimized geometry

uncorrected formation energy: 83 meV/atom

abc: 3.516 3.516 23.895
angles: 90.00 90.00 120.00
Element x y z (fractional)
Ta 0.000 0.000 0.000
Ta 0.333 0.667 0.667
Ta 0.667 0.333 0.333
Te 0.000 0.000 0.248
Te 0.000 0.000 0.752
Te 0.333 0.667 0.418
Te 0.333 0.667 0.915
Te 0.667 0.333 0.085
Te 0.667 0.333 0.582
Pt 0.000 0.000 0.500
Pt 0.333 0.667 0.167
Pt 0.667 0.333 0.833

---

# 2
Compound: TlCo2Hg
Source: the Alexandria database
Functional: GGA-PBE
Structure: optimized geometry

energy of formation: 0.39 eV/atom
energy above the lowest structure with this stoichiometry: 0 kJ/mol of formula units

abc: 3.030 3.030 7.861
angles: 90.00 90.00 90.00
Element x y z (fractional)
Tl 0.000 0.000 0.000
Co 0.000 0.000 0.401
Co 0.500 0.500 0.264
Hg 0.500 0.500 0.640

---

# 3
Compound: PmMgAs
Source: the Alexandria database
Functional: GGA-PBE
Structure: optimized geometry

energy of formation: -0.77 eV/atom
energy above the lowest structure with this stoichiometry: 0 kJ/mol of formula units

abc: 4.445 4.445 4.082
angles: 90.00 90.00 120.00
Element x y z (fractional)
Pm 0.000 0.000 0.000
Mg 0.667 0.333 0.502
As 0.333 0.667 0.499

---

# 4
Compound: CsGa2Br3
Source: the Alexandria database
Functional: GGA-PBE
Structure: optimized geometry

uncorrected formation energy: -933 meV/atom

abc: 6.236 15.413 4.872
angles: 90.00 90.00 90.00
Element x y z (fractional)
Cs 0.250 0.250 0.170
Cs 0.750 0.750 0.830
Ga 0.250 0.566 0.250
Ga 0.250 0.934 0.250
Ga 0.750 0.066 0.750
Ga 0.750 0.434 0.750
Br 0.250 0.063 0.692
Br 0.250 0.437 0.692
Br 0.250 0.750 0.437
Br 0.750 0.250 0.563
Br 0.750 0.563 0.308
Br 0.750 0.937 0.308

---

# 5
Compound: ZrSbO2
Source: the Alexandria database
Functional: GGA-PBE
Structure: optimized geometry

uncorrected formation energy: -2126 meV/atom

abc: 3.236 3.236 25.998
angles: 90.00 90.00 120.00
Element x y z (fractional)
Zr 0.000 0.000 0.000
Zr 0.333 0.667 0.667
Zr 0.667 0.333 0.333
Sb 0.000 0.000 0.500
Sb 0.333 0.667 0.167
Sb 0.667 0.333 0.833
O 0.000 0.000 0.372
O 0.000 0.000 0.628
O 0.333 0.667 0.038
O 0.333 0.667 0.295
O 0.667 0.333 0.705
O 0.667 0.333 0.962

---

# 6
Compound: Y2Nb2O
Source: the Alexandria database
Functional: GGA-PBE
Structure: optimized geometry

uncorrected formation energy: -318 meV/atom
energy above the lowest structure with this stoichiometry: 0 kJ/mol of formula units

abc: 6.227 6.227 5.731
angles: 90.00 90.00 90.00
Element x y z (fractional)
Y 0.177 0.323 0.000
Y 0.323 0.823 0.000
Y 0.677 0.177 0.000
Y 0.823 0.677 0.000
Nb 0.131 0.631 0.500
Nb 0.369 0.131 0.500
Nb 0.631 0.869 0.500
Nb 0.869 0.369 0.500
O 0.000 0.000 0.000
O 0.500 0.500 0.000

---

# 7
Compound: ScCd2Hg
Source: the Alexandria database
Functional: GGA-PBE
Structure: optimized geometry

energy of formation: -0.20 eV/atom

abc: 3.313 3.313 8.012
angles: 90.00 90.00 90.00
Element x y z (fractional)
Sc 0.000 0.000 0.000
Cd 0.000 0.000 0.505
Cd 0.500 0.500 0.255
Hg 0.500 0.500 0.763

---

# 8
Compound: CaPaAsO2
Source: the Alexandria database
Functional: GGA-PBE
Structure: optimized geometry

uncorrected formation energy: -2619 meV/atom

abc: 3.822 3.822 12.268
angles: 90.00 90.00 90.00
Element x y z (fractional)
Ca 0.000 0.000 0.000
Ca 0.500 0.500 0.500
Pa 0.000 0.000 0.701
Pa 0.500 0.500 0.201
As 0.000 0.000 0.339
As 0.500 0.500 0.839
O 0.000 0.500 0.112
O 0.000 0.500 0.612
O 0.500 0.000 0.112
O 0.500 0.000 0.612

---

# 9
Compound: Zr2ScPb
Source: the Alexandria database
Functional: GGA-PBE
Structure: optimized geometry

energy of formation: -0.22 eV/atom

abc: 4.377 4.377 9.675
angles: 90.00 90.00 90.00
Element x y z (fractional)
Zr 0.000 0.500 0.250
Zr 0.000 0.500 0.750
Zr 0.500 0.000 0.250
Zr 0.500 0.000 0.750
Sc 0.000 0.000 0.000
Sc 0.500 0.500 0.500
Pb 0.000 0.000 0.500
Pb 0.500 0.500 0.000

---

# 10
Compound: Pa2Ga3Ni
Source: the Alexandria database
Functional: GGA-PBE
Structure: optimized geometry

energy of formation: -0.38 eV/atom
energy above the lowest structure with this stoichiometry: 17 kJ/mol of formula units

abc: 8.888 8.386 5.570
angles: 76.15 66.36 37.48
Element x y z (fractional)
Pa 0.241 0.759 0.759
Pa 0.250 0.250 0.250
Pa 0.750 0.750 0.750
Pa 0.759 0.241 0.241
Ga 0.161 0.669 0.331
Ga 0.329 0.329 0.671
Ga 0.331 0.839 0.161
Ga 0.669 0.161 0.839
Ga 0.671 0.671 0.329
Ga 0.839 0.331 0.669
Ni 0.166 0.166 0.834
Ni 0.834 0.834 0.166

---

# 11
Compound: AlAsPtSe2
Source: the Alexandria database
Functional: GGA-PBE
Structure: optimized geometry

uncorrected formation energy: 470 meV/atom
energy above the lowest structure with this stoichiometry: 0 kJ/mol of formula units

abc: 5.247 5.247 4.611
angles: 90.00 90.00 90.00
Element x y z (fractional)
Al 0.000 0.000 0.000
As 0.500 0.500 0.000
Pt 0.500 0.500 0.500
Se 0.000 0.500 0.500
Se 0.500 0.000 0.500

---

# 12
Compound: Cs2ScTe3
Source: the Alexandria database
Functional: GGA-PBE
Structure: optimized geometry

uncorrected formation energy: -934 meV/atom

abc: 3.982 6.965 17.416
angles: 90.00 90.00 90.00
Element x y z (fractional)
Cs 0.000 0.000 0.183
Cs 0.000 0.000 0.817
Cs 0.500 0.500 0.317
Cs 0.500 0.500 0.683
Sc 0.000 0.000 0.500
Sc 0.500 0.500 0.000
Te 0.000 0.500 0.119
Te 0.000 0.500 0.500
Te 0.000 0.500 0.881
Te 0.500 0.000 0.000
Te 0.500 0.000 0.381
Te 0.500 0.000 0.619

---

# 13
Compound: NaIn2I2
Source: the Alexandria database
Functional: GGA-PBE
Structure: optimized geometry

uncorrected formation energy: -526 meV/atom
energy above the lowest structure with this stoichiometry: 0 kJ/mol of formula units

abc: 4.279 4.279 19.440
angles: 90.00 90.00 90.00
Element x y z (fractional)
Na 0.000 0.000 0.000
Na 0.500 0.500 0.500
In 0.000 0.500 0.250
In 0.000 0.500 0.750
In 0.500 0.000 0.250
In 0.500 0.000 0.750
I 0.000 0.000 0.401
I 0.000 0.000 0.599
I 0.500 0.500 0.099
I 0.500 0.500 0.901

---

# 14
Compound: Al3Zn4
Source: the Alexandria database
Functional: GGA-PBE
Structure: optimized geometry

energy of formation: 0.06 eV/atom
energy above the lowest structure with this stoichiometry: 19 kJ/mol of formula units

abc: 13.786 2.820 6.481
angles: 90.00 114.39 90.00
Element x y z (fractional)
Al 0.000 0.000 0.000
Al 0.222 0.000 0.161
Al 0.278 0.500 0.839
Al 0.500 0.500 0.000
Al 0.722 0.500 0.161
Al 0.778 0.000 0.839
Zn 0.088 0.000 0.705
Zn 0.122 0.500 0.387
Zn 0.378 0.000 0.613
Zn 0.412 0.500 0.295
Zn 0.588 0.500 0.705
Zn 0.622 0.000 0.387
Zn 0.878 0.500 0.613
Zn 0.912 0.000 0.295

---

# 15
Compound: KZrVRh2
Source: the Alexandria database
Functional: GGA-PBE
Structure: optimized geometry

energy of formation: 0.62 eV/atom

abc: 4.683 4.683 4.888
angles: 90.00 90.00 90.00
Element x y z (fractional)
K 0.000 0.000 0.000
Zr 0.500 0.500 0.000
V 0.500 0.500 0.500
Rh 0.000 0.500 0.500
Rh 0.500 0.000 0.500

---

# 16
Compound: Ge2PdPbF
Source: the Alexandria database
Functional: GGA-PBE
Structure: optimized geometry

uncorrected formation energy: -147 meV/atom

abc: 4.669 4.669 6.016
angles: 90.00 90.00 90.00
Element x y z (fractional)
Ge 0.000 0.500 0.000
Ge 0.500 0.000 0.000
Pd 0.000 0.000 0.000
Pb 0.000 0.000 0.500
F 0.500 0.500 0.500

---

# 17
Compound: HfTi2Se
Source: the Alexandria database
Functional: GGA-PBE
Structure: optimized geometry

uncorrected formation energy: -631 meV/atom

abc: 13.314 8.019 5.274
angles: 90.00 90.00 90.00
Element x y z (fractional)
Hf 0.113 0.250 0.218
Hf 0.136 0.750 0.004
Hf 0.364 0.250 0.504
Hf 0.387 0.750 0.718
Hf 0.613 0.250 0.282
Hf 0.636 0.750 0.496
Hf 0.864 0.250 0.996
Hf 0.887 0.750 0.782
Ti 0.032 0.040 0.757
Ti 0.032 0.460 0.757
Ti 0.218 0.542 0.496
Ti 0.218 0.958 0.496
Ti 0.282 0.042 0.996
Ti 0.282 0.458 0.996
Ti 0.468 0.540 0.257
Ti 0.468 0.960 0.257
Ti 0.532 0.040 0.743
Ti 0.532 0.460 0.743
Ti 0.718 0.542 0.004
Ti 0.718 0.958 0.004
Ti 0.782 0.042 0.504
Ti 0.782 0.458 0.504
Ti 0.968 0.540 0.243
Ti 0.968 0.960 0.243
Se 0.069 0.750 0.517
Se 0.180 0.250 0.718
Se 0.320 0.750 0.218
Se 0.431 0.250 0.017
Se 0.569 0.750 0.983
Se 0.680 0.250 0.782
Se 0.820 0.750 0.282
Se 0.931 0.250 0.483

---

# 18
Compound: LaPb4W
Source: the Alexandria database
Functional: GGA-PBE
Structure: optimized geometry

energy of formation: 0.75 eV/atom

abc: 6.348 6.348 6.348
angles: 60.00 60.00 60.00
Element x y z (fractional)
La 0.000 0.000 0.000
Pb 0.127 0.624 0.624
Pb 0.624 0.127 0.624
Pb 0.624 0.624 0.127
Pb 0.624 0.624 0.624
W 0.250 0.250 0.250

---

# 19
Compound: LaSc2Ta
Source: the Alexandria database
Functional: GGA-PBE
Structure: optimized geometry

energy of formation: 0.28 eV/atom

abc: 10.516 3.140 5.984
angles: 90.00 96.01 90.00
Element x y z (fractional)
La 0.000 0.000 0.000
La 0.500 0.500 0.000
Sc 0.242 0.000 0.712
Sc 0.491 0.000 0.478
Sc 0.742 0.500 0.712
Sc 0.991 0.500 0.478
Ta 0.254 0.500 0.284
Ta 0.754 0.000 0.284

---

# 20
Compound: MnIn2PbBr6
Source: the Alexandria database
Functional: GGA-PBE
Structure: optimized geometry

uncorrected formation energy: -755 meV/atom

abc: 7.511 8.045 13.262
angles: 90.00 124.07 90.00
Element x y z (fractional)
Mn 0.000 0.000 0.000
Mn 0.000 0.500 0.500
In 0.280 0.083 0.751
In 0.280 0.417 0.251
In 0.720 0.583 0.749
In 0.720 0.917 0.249
Pb 0.500 0.000 0.500
Pb 0.500 0.500 0.000
Br 0.128 0.026 0.234
Br 0.128 0.474 0.734
Br 0.225 0.713 0.053
Br 0.225 0.787 0.553
Br 0.343 0.177 0.047
Br 0.343 0.323 0.547
Br 0.657 0.677 0.453
Br 0.657 0.823 0.953
Br 0.775 0.213 0.447
Br 0.775 0.287 0.947
Br 0.872 0.526 0.266
Br 0.872 0.974 0.766

---

# 21
Compound: LaSmScZn
Source: the Alexandria database
Functional: GGA-PBE
Structure: optimized geometry

energy of formation: -0.13 eV/atom
energy above the lowest structure with this stoichiometry: 0 kJ/mol of formula units

abc: 3.549 3.549 8.594
angles: 90.00 90.00 90.00
Element x y z (fractional)
La 0.000 0.000 0.000
Sm 0.500 0.500 0.680
Sc 0.500 0.500 0.284
Zn 0.000 0.000 0.451

---

# 22
Compound: ThZnC
Source: the Alexandria database
Functional: GGA-PBE
Structure: optimized geometry

energy of formation: -0.17 eV/atom

abc: 7.730 7.730 7.730
angles: 32.45 32.45 32.45
Element x y z (fractional)
Th 0.105 0.105 0.105
Th 0.895 0.895 0.895
Zn 0.317 0.317 0.317
Zn 0.683 0.683 0.683
C 0.216 0.216 0.216
C 0.784 0.784 0.784

---

# 23
Compound: BaTiSn2
Source: the Alexandria database
Functional: GGA-PBE
Structure: optimized geometry

energy of formation: 0.04 eV/atom
energy above the lowest structure with this stoichiometry: 121 kJ/mol of formula units

abc: 7.655 7.655 7.655
angles: 90.00 90.00 90.00
Element x y z (fractional)
Ba 0.000 0.000 0.000
Ba 0.000 0.500 0.500
Ba 0.500 0.000 0.500
Ba 0.500 0.500 0.000
Ti 0.000 0.000 0.500
Ti 0.000 0.500 0.000
Ti 0.500 0.000 0.000
Ti 0.500 0.500 0.500
Sn 0.250 0.250 0.250
Sn 0.250 0.250 0.750
Sn 0.250 0.750 0.250
Sn 0.250 0.750 0.750
Sn 0.750 0.250 0.250
Sn 0.750 0.250 0.750
Sn 0.750 0.750 0.250
Sn 0.750 0.750 0.750

---

# 24
Compound: Sm2PuTh3As6
Source: the Alexandria database
Functional: GGA-PBE
Structure: optimized geometry

energy of formation: -1.40 eV/atom

abc: 9.446 9.446 8.432
angles: 102.64 102.64 25.92
Element x y z (fractional)
Sm 0.167 0.167 0.334
Sm 0.833 0.833 0.666
Pu 0.500 0.500 0.000
Th 0.167 0.167 0.834
Th 0.500 0.500 0.500
Th 0.833 0.833 0.166
As 0.000 0.000 0.246
As 0.000 0.000 0.754
As 0.333 0.333 0.417
As 0.334 0.334 0.916
As 0.666 0.666 0.084
As 0.667 0.667 0.583

---

# 25
Compound: ZrTl2As
Source: the Alexandria database
Functional: GGA-PBE
Structure: optimized geometry

energy of formation: 0.19 eV/atom
energy above the lowest structure with this stoichiometry: 184 kJ/mol of formula units

abc: 8.265 8.265 5.851
angles: 90.00 90.00 90.00
Element x y z (fractional)
Zr 0.000 0.000 0.000
Zr 0.000 0.500 0.250
Zr 0.500 0.000 0.750
Zr 0.500 0.500 0.500
Tl 0.237 0.250 0.625
Tl 0.250 0.737 0.875
Tl 0.250 0.763 0.375
Tl 0.263 0.250 0.125
Tl 0.737 0.750 0.125
Tl 0.750 0.237 0.375
Tl 0.750 0.263 0.875
Tl 0.763 0.750 0.625
As 0.000 0.000 0.500
As 0.000 0.500 0.750
As 0.500 0.000 0.250
As 0.500 0.500 0.000